Entry from Alexandria: a geometry-optimized Ac2MoPbO6 structure (PBE with a Hubbard U).

- DOS at the Fermi energy (states/eV/f.u.) = 4.007
- final energy (eV per atom) = -7.06

Cell lengths 5.7730, 5.7730, 5.4966 Å; angles 90.00, 90.00, 90.00 degrees
With the nearest neighbours (Å) after each atom.
Space group P4mm (No. 99)
One atom of each set of equivalent atoms:
Ac: 0.0000 0.5000 0.0000  4 O 2.49
Mo: 0.0000 0.0000 0.5994  5 O 1.96-2.04
Pb: 0.5000 0.5000 0.5493  5 O 2.38-2.44
O: 0.0000 0.0000 0.2423  1 Mo 1.96
O: 0.2307 0.2307 0.7415  1 Mo 2.04
O: 0.5000 0.5000 0.1165  1 Pb 2.38